Record 1
Here is a relaxed CaRe4 crystal from Alexandria via LeMat-Bulk. Energies are from PBEsol.

Computed properties:
E_form = 2.88 eV per atom
magnetic moment = 0.0 μB/f.u.
electronic total energy = -8.209 eV/atom

Lattice parameters (Å, degrees): 5.668 5.668 5.668 90.00 90.00 90.00
Space group Im-3m (No. 229)
Asymmetric unit:
1 Ca 0.000 0.000 0.000 [2 per cell]
2 Re 0.250 0.250 0.250 [8 per cell]

Record 2
Here is a relaxed AlZn2Cu crystal from Alexandria via LeMat-Bulk. Energies are from PBEsol.

Computed properties:
E_form = -0.02 eV per atom
magnetic moment = 0.0 μB/f.u.
electronic total energy = -2.916 eV/atom

Lattice parameters (Å, degrees): 2.735 4.521 4.502 90.00 92.69 90.00
Space group P2/m (No. 10)
Asymmetric unit:
1 Al 0.000 0.000 0.000 [1 per cell]
2 Zn 0.257 0.500 0.256 [2 per cell]
3 Cu 0.500 0.000 0.500 [1 per cell]